# TcOs3, optimized geometry, DFT PBE
# distance to the lowest polymorph of the same formula	0.1622	eV per atom
# energy of formation	87	meV/atom
# Fermi-level density of states	7.29	states/eV/cell
data_TcOs3
_chemical_formula_sum 'Tc2 Os6'
_cell_length_a 9.0567
_cell_length_b 2.7315
_cell_length_c 4.7283
_cell_angle_alpha 90.00
_cell_angle_beta 100.12
_cell_angle_gamma 90.00
_symmetry_space_group_name_H-M 'C 1 2/m 1'
_symmetry_Int_Tables_number 12
loop_
_symmetry_equiv_pos_as_xyz
'x,y,z'
'-x,-y,-z'
'-x,y,-z'
'x,-y,z'
'x+1/2,y+1/2,z'
'-x+1/2,-y+1/2,-z'
'-x+1/2,y+1/2,-z'
'x+1/2,-y+1/2,z'
loop_
_atom_site_label
_atom_site_type_symbol
_atom_site_fract_x
_atom_site_fract_y
_atom_site_fract_z
Tc1 Tc 0.0000 0.0000 0.0000
Os1 Os 0.0000 0.5000 0.5000
Os2 Os 0.2493 0.0000 0.7495